# ErV2PbO8, relaxed, DFT GGA+U
# Calculated volume ... 197.26 Å³/cell
# VASP energy ... -7.25 eV per atom
data_ErV2PbO8
_chemical_formula_sum 'Er1 V2 Pb1 O8'
_cell_length_a 5.8548
_cell_length_b 5.8548
_cell_length_c 6.6448
_cell_angle_alpha 90.00
_cell_angle_beta 90.00
_cell_angle_gamma 120.00
_symmetry_space_group_name_H-M 'P -3 m 1'
_symmetry_Int_Tables_number 164
_symmetry_space_group_name_Hall '-P 3 2"'
loop_
_atom_site_label
_atom_site_type_symbol
_atom_site_fract_x
_atom_site_fract_y
_atom_site_fract_z
_atom_site_occupancy
Er1 Er 0.0000 0.0000 0.0000 1
V1 V 0.3333 0.6667 0.3049 1
Pb1 Pb 0.0000 0.0000 0.5000 1
O1 O 0.1650 0.3299 0.2254 1
O2 O 0.3333 0.6667 0.5522 1